This record from Alexandria via LeMat-Bulk describes crystalline ZrPtS at its relaxed geometry. The functional is PBE.

Cell: 4.796 3.559 6.480 Å, 90.00 99.27 90.00°
Space group Pm (No. 6)
Asymmetric unit:
Zr  0.000  0.000  0.000 x1
Zr  0.417  0.000  0.542 x1
Pt  0.526  0.500  0.891 x1
Pt  0.967  0.500  0.668 x1
S  0.343  0.500  0.208 x1
S  0.882  0.000  0.391 x1

Properties
Uncorrected formation energy   -1156.0 meV per atom
Theoretical density   9.687 g cm⁻³
DOS at the Fermi energy   0.58 states/eV/atom
M_tot   0.00 μB per formula unit
DFT total energy   -7.395 eV/atom